No. 1
The following is a DFT calculation (PBE) of a relaxed Rb2Cd5Hg12 crystal.

Calculated values
- N(E_F) (states/eV per cell) = 6.26
- calculated formation energy (meV/atom) = -92.1
- ρ (g/cm3) = 9.583
- total magnetization (μB per cell) = 0.0

a b c (Å): 8.280 8.280 8.280
angles (deg): 79.93 79.93 79.93
Positions (direct):
Rb1 0.159 0.159 0.159
Rb2 0.841 0.841 0.841
Cd1 0.000 0.500 0.500
Cd2 0.404 0.404 0.404
Cd3 0.500 0.000 0.500
Cd4 0.500 0.500 0.000
Cd5 0.596 0.596 0.596
Hg1 0.144 0.144 0.642
Hg2 0.144 0.642 0.144
Hg3 0.207 0.500 0.793
Hg4 0.207 0.793 0.500
Hg5 0.358 0.856 0.856
Hg6 0.500 0.207 0.793
Hg7 0.500 0.793 0.207
Hg8 0.642 0.144 0.144
Hg9 0.793 0.207 0.500
Hg10 0.793 0.500 0.207
Hg11 0.856 0.358 0.856
Hg12 0.856 0.856 0.358


No. 2
The following is a DFT calculation (PBE) of a relaxed Rb2CdHg6 crystal.

Calculated values
- N(E_F) (states/eV per cell) = 2.37
- calculated formation energy (meV/atom) = -202.0
- ρ (g/cm3) = 8.539
- total magnetization (μB per cell) = 0.0

a b c (Å): 7.146 7.146 6.537
angles (deg): 90.00 90.00 120.00
Positions (direct):
Rb1 0.333 0.667 0.338
Rb2 0.667 0.333 0.662
Cd1 0.000 0.000 0.500
Hg1 0.179 0.358 0.830
Hg2 0.179 0.821 0.830
Hg3 0.358 0.179 0.170
Hg4 0.642 0.821 0.830
Hg5 0.821 0.179 0.170
Hg6 0.821 0.642 0.170


No. 3
The following is a DFT calculation (PBE) of a relaxed Rb2CdHg crystal.

Calculated values
- N(E_F) (states/eV per cell) = 7.57
- calculated formation energy (meV/atom) = 16.9
- energy above the lowest structure with this stoichiometry (eV per atom) = 0.158
- ρ (g/cm3) = 4.245
- total magnetization (μB per cell) = 0.0

a b c (Å): 8.039 8.039 8.039
angles (deg): 102.47 102.47 124.62
Positions (direct):
Rb1 0.115 0.625 0.990
Rb2 0.375 0.365 0.490
Rb3 0.635 0.125 0.010
Rb4 0.875 0.885 0.510
Cd1 0.250 0.750 0.500
Cd2 0.500 0.500 0.000
Hg1 0.000 0.000 0.000
Hg2 0.750 0.250 0.500


No. 4
The following is a DFT calculation (PBE) of a relaxed Rb3Cd8Hg crystal.

Calculated values
- N(E_F) (states/eV per cell) = 4.83
- calculated formation energy (meV/atom) = -36.2
- ρ (g/cm3) = 5.964
- total magnetization (μB per cell) = 0.0

a b c (Å): 11.295 11.295 11.295
angles (deg): 32.87 32.87 32.87
Positions (direct):
Rb1 0.000 0.000 0.000
Rb2 0.128 0.128 0.128
Rb3 0.620 0.620 0.620
Cd1 0.061 0.061 0.560
Cd2 0.061 0.560 0.061
Cd3 0.066 0.563 0.563
Cd4 0.313 0.313 0.313
Cd5 0.560 0.061 0.061
Cd6 0.563 0.066 0.563
Cd7 0.563 0.563 0.066
Cd8 0.813 0.813 0.813
Hg1 0.498 0.498 0.498